TeOs2Se: optimized geometry, GGA-PBE.

```
data_TeOs2Se
_symmetry_space_group_name_H-M 'C m m m'
_symmetry_Int_Tables_number 65
_symmetry_space_group_name_Hall '-C 2 2'
_cell_length_a 5.484
_cell_length_b 6.355
_cell_length_c 4.289
_cell_angle_alpha 90.00
_cell_angle_beta 90.00
_cell_angle_gamma 90.00
loop_
_atom_site_label
_atom_site_fract_x
_atom_site_fract_y
_atom_site_fract_z
Te1 0.000 0.000 0.000
Os1 0.000 0.292 0.500
Se1 0.000 0.500 0.000
```

Summary:
- ρ (g/cm3) = 13.04
- electronic total energy (eV/atom) = -6.359
- V (Å³/cell) = 149.5
- magnetization (μB/atom) = 0.000
- E_form (uncorrected) (kcal/mol of atoms) = 21.04
- distance to the lowest polymorph of the same formula (meV/atom) = 542

Sr2NdBr: optimized geometry, GGA-PBE.

```
data_Sr2NdBr
_symmetry_space_group_name_H-M 'R -3 m'
_symmetry_Int_Tables_number 166
_symmetry_space_group_name_Hall '-R 3 2"'
_cell_length_a 3.9058
_cell_length_b 3.9058
_cell_length_c 36.4469
_cell_angle_alpha 90.00
_cell_angle_beta 90.00
_cell_angle_gamma 120.00
loop_
_atom_site_label
_atom_site_fract_x
_atom_site_fract_y
_atom_site_fract_z
Sr1 0.0000 0.0000 0.1018
Nd1 0.0000 0.0000 0.0000
Br1 0.0000 0.0000 0.5000
```

Summary:
- ρ (g/cm3) = 4.13
- electronic total energy (eV/atom) = -2.877
- V (Å³/cell) = 481.5
- magnetization (μB/atom) = 0.038
- E_form (uncorrected) (kcal/mol of atoms) = -9.83
- distance to the lowest polymorph of the same formula (meV/atom) = 177

distance to the lowest polymorph of the same formula of number 2 (Sr2NdBr)?
177 meV/atom

What is the distance to the lowest polymorph of the same formula in the second record?
177 meV/atom